Computed, not measured: crystalline PrYNi4 at its relaxed geometry at the GGA-PBE level of DFT.

Output
E above lowest polymorph, meV per atom: 0
Space-group type: F-43m (216)

Geometry as POSCAR:
```
PrYNi4
1.0
0.0000 3.6212 3.6212
3.6212 0.0000 3.6212
3.6212 3.6212 0.0000
Pr Y Ni
1 1 4
Direct
0.0000 0.0000 0.0000
0.7500 0.7500 0.7500
0.3753 0.3753 0.3753
0.3753 0.3753 0.8741
0.3753 0.8741 0.3753
0.8741 0.3753 0.3753
```

---

Computed, not measured: crystalline Pr2YNi9 at its relaxed geometry at the GGA-PBE level of DFT.

Output
Space-group type: R-3m (166)

Geometry as POSCAR:
```
Pr2YNi9
1.0
2.4927 1.4392 8.2585
-2.4927 1.4392 8.2585
0.0000 -2.8783 8.2585
Pr Y Ni
2 1 9
Direct
0.1384 0.1384 0.1384
0.8616 0.8616 0.8616
0.0000 0.0000 0.0000
0.0814 0.5786 0.5786
0.3327 0.3327 0.3327
0.4214 0.4214 0.9186
0.4214 0.9186 0.4214
0.5000 0.5000 0.5000
0.5786 0.0814 0.5786
0.5786 0.5786 0.0814
0.6673 0.6673 0.6673
0.9186 0.4214 0.4214
```

---

Computed, not measured: crystalline PrY2Ni9 at its relaxed geometry at the GGA-PBE level of DFT.

Output
Space-group type: R-3m (166)

Geometry as POSCAR:
```
PrY2Ni9
1.0
2.5067 1.4472 8.1261
-2.5067 1.4472 8.1261
0.0000 -2.8945 8.1261
Pr Y Ni
1 2 9
Direct
0.0000 0.0000 0.0000
0.1398 0.1398 0.1398
0.8602 0.8602 0.8602
0.0822 0.5831 0.5831
0.3329 0.3329 0.3329
0.4169 0.4169 0.9178
0.4169 0.9178 0.4169
0.5000 0.5000 0.5000
0.5831 0.0822 0.5831
0.5831 0.5831 0.0822
0.6671 0.6671 0.6671
0.9178 0.4169 0.4169
```

---

Computed, not measured: crystalline PrYNi4 at its relaxed geometry at the GGA-PBE level of DFT.

Output
E above lowest polymorph, meV per atom: 457
Space-group type: P6/mmm (191)

Geometry as POSCAR:
```
PrYNi4
1.0
5.4165 0.0000 0.0000
-2.7082 4.6908 0.0000
0.0000 0.0000 8.2783
Pr Y Ni
2 2 8
Direct
0.3333 0.6667 0.0000
0.6667 0.3333 0.0000
0.0000 0.0000 0.0000
0.0000 0.0000 0.5000
0.0000 0.5000 0.2842
0.0000 0.5000 0.7158
0.3333 0.6667 0.5000
0.5000 0.0000 0.2842
0.5000 0.0000 0.7158
0.5000 0.5000 0.2842
0.5000 0.5000 0.7158
0.6667 0.3333 0.5000
```

---

Calculated total magnetic moment in order - 0.000 0.044 0.050 0.149 μB/atom
Calculated energy of formation from the pure elements in order - -0.3472 -0.3186 -0.3710 0.1098 eV per atom